First-principles (GGA-PBE) data for an optimized crystal structure of Rb3Cd3Au2, as listed in the Open Quantum Materials Database.

Results
**Space group**: Cmcm
**Uncorrected energy**: -1.728 eV per atom
**ρ**: 5.80 g/cm3
**V**: 565.9 Å³ per cell

Cell lengths 6.903, 6.903, 18.028 Å; angles 90.00, 90.00, 138.80 degrees
Fractional coordinates of all 16 atoms:
Rb: 0.857 0.143 0.750
Rb: 0.143 0.857 0.250
Rb: 0.450 0.550 0.105
Rb: 0.550 0.450 0.605
Rb: 0.450 0.550 0.395
Rb: 0.550 0.450 0.895
Cd: 0.847 0.153 0.250
Cd: 0.153 0.847 0.750
Cd: 0.822 0.178 0.963
Cd: 0.178 0.822 0.463
Cd: 0.178 0.822 0.037
Cd: 0.822 0.178 0.537
Au: 0.737 0.263 0.387
Au: 0.737 0.263 0.113
Au: 0.263 0.737 0.613
Au: 0.263 0.737 0.887